Record 1
Entry from Alexandria via LeMat-Bulk: a relaxed structure of AcGaTe (GGA-PBE).

## Properties
Distance to the lowest polymorph of the same formula, meV/atom: 142
Space-group type: No. 107
Raw formation energy, meV/atom: -668
Magnetization, Bohr magnetons per cell: 0.00

Unit cell a=4.4807 b=4.4807 c=5.7881 alpha=112.77 beta=112.77 gamma=90.00
Closest atoms and distances in Å follow each position.
Atoms (fractional coordinates):
Ac: 0.2781 0.2781 0.5562  5 Ga 3.38-3.49, 5 Te 3.43-3.53
Ga: 0.9293 0.9293 0.8587  1 Te 2.78
Te: 0.6426 0.6426 0.2851  1 Ga 2.78

=====

Record 2
Entry from Alexandria via LeMat-Bulk: a relaxed structure of BaAc2In (GGA-PBE).

## Properties
Distance to the lowest polymorph of the same formula, meV/atom: 142
Space-group type: No. 225
Formation energy from the elements, eV/atom: -0.004
Magnetization, Bohr magnetons per cell: 0.00

Unit cell a=6.0908 b=6.0908 c=6.0908 alpha=60.00 beta=60.00 gamma=60.00
Closest atoms and distances in Å follow each position.
Atoms (fractional coordinates):
Ba: 0.0000 0.0000 0.0000  8 Ac 3.73
In: 0.5000 0.5000 0.5000  8 Ac 3.73
Ac: 0.2500 0.2500 0.2500  4 Ba 3.73, 4 In 3.73
Ac: 0.7500 0.7500 0.7500  4 In 3.73, 4 Ba 3.73

=====

Record 3
Entry from Alexandria via LeMat-Bulk: a relaxed structure of BaNpNi2S4 (GGA-PBE).

## Properties
Space-group type: No. 23
Raw formation energy, meV/atom: -850
Magnetization, Bohr magnetons per cell: 1.41

Unit cell a=6.3184 b=6.2809 c=6.2809 alpha=69.66 beta=59.80 gamma=59.80
Closest atoms and distances in Å follow each position.
Atoms (fractional coordinates):
S: 0.9411 0.4964 0.1092  1 Ni 2.17
S: 0.0589 0.8908 0.5036  1 Ni 2.17
S: 0.5467 0.5036 0.8908  1 Ni 2.17
S: 0.4533 0.1092 0.4964  1 Ni 2.17
Ba: 0.0000 0.0000 0.0000  8 S 3.17-3.22
Ni: 0.8528 0.6472 0.6472  2 S 2.17, 1 Ni 2.40
Ni: 0.1472 0.3528 0.3528  2 S 2.17, 1 Ni 2.40
Np: 0.5000 0.5000 0.5000  4 S 2.62

=====

Record 4
Entry from Alexandria via LeMat-Bulk: a relaxed structure of BaCrTc2 (GGA-PBE).

## Properties
Distance to the lowest polymorph of the same formula, meV/atom: 861
Space-group type: No. 65
Formation energy from the elements, eV/atom: 1.416
Magnetization, Bohr magnetons per cell: 2.58

Unit cell a=5.6507 b=5.6507 c=2.9481 alpha=90.00 beta=90.00 gamma=122.83
Closest atoms and distances in Å follow each position.
Atoms (fractional coordinates):
Tc: 0.5000 0.5000 0.0000  4 Tc 2.70-2.95
Tc: 0.0000 0.0000 0.0000  4 Tc 2.70-2.95
Cr: 0.0000 0.5000 0.5000  2 Ba 2.70, 2 Cr 2.95
Ba: 0.5000 0.0000 0.5000  2 Cr 2.70, 2 Ba 2.95

=====

Record 5
Entry from Alexandria via LeMat-Bulk: a relaxed structure of Ba2Ge2Pd (GGA-PBE).

## Properties
Space-group type: No. 127
Formation energy from the elements, eV/atom: -0.418
Magnetization, Bohr magnetons per cell: 0.00

Unit cell a=7.2232 b=7.2232 c=5.2380 alpha=90.00 beta=90.00 gamma=90.00
Closest atoms and distances in Å follow each position.
Atoms (fractional coordinates):
Ge: 0.8666 0.6334 0.0000  1 Ge 2.73, 2 Pd 2.82
Ge: 0.3666 0.8666 0.0000  1 Ge 2.73, 2 Pd 2.82
Ge: 0.6334 0.1334 0.0000  1 Ge 2.73, 2 Pd 2.82
Ge: 0.1334 0.3666 0.0000  1 Ge 2.73, 2 Pd 2.82
Pd: 0.5000 0.5000 0.0000  4 Ge 2.82
Pd: 0.0000 0.0000 0.0000  4 Ge 2.82
Ba: 0.6697 0.8303 0.5000  6 Ge 3.30-3.42, 1 Ba 3.47
Ba: 0.1697 0.6697 0.5000  6 Ge 3.30-3.42, 1 Ba 3.47
Ba: 0.8303 0.3303 0.5000  6 Ge 3.30-3.42, 1 Ba 3.47
Ba: 0.3303 0.1697 0.5000  6 Ge 3.30-3.42, 1 Ba 3.47

=====

Record 6
Entry from Alexandria via LeMat-Bulk: a relaxed structure of Cs2Cu2AgF7 (GGA-PBE).

## Properties
Space-group type: No. 139
Raw formation energy, meV/atom: -1836
Magnetization, Bohr magnetons per cell: 1.99

Unit cell a=4.2065 b=4.2065 c=11.6499 alpha=79.64 beta=79.64 gamma=89.99
Closest atoms and distances in Å follow each position.
Atoms (fractional coordinates):
F: 0.9162 0.4161 0.1670  2 Cu 2.10
F: 0.4161 0.9162 0.1670  2 Cu 2.10
F: 0.5839 0.0838 0.8330  2 Cu 2.10
F: 0.3252 0.3252 0.3500  1 Cu 2.00
F: 0.6748 0.6748 0.6500  1 Cu 2.00
F: 0.0838 0.5839 0.8330  2 Cu 2.10
F: 0.5000 0.5000 0.0000  2 Cu 1.94
Cs: 0.8194 0.8194 0.3616  9 F 2.98-3.25
Cs: 0.1806 0.1806 0.6384  9 F 2.98-3.25
Cu: 0.4135 0.4135 0.1726  6 F 1.94-2.10
Cu: 0.5865 0.5865 0.8274  6 F 1.94-2.10
Ag: 0.0000 0.0000 0.0000  12 F 2.82-2.97

=====

Record 7
Entry from Alexandria via LeMat-Bulk: a relaxed structure of Ac2La5Dy (GGA-PBE).

## Properties
Space-group type: No. 55
Formation energy from the elements, eV/atom: 0.020
Magnetization, Bohr magnetons per cell: 0.00

Unit cell a=5.3531 b=7.5143 c=15.0667 alpha=90.00 beta=90.00 gamma=90.00
Closest atoms and distances in Å follow each position.
Atoms (fractional coordinates):
La: 0.5000 0.7479 0.6241  4 Ac 3.74-3.79, 6 La 3.76-3.80, 2 Dy 3.77
La: 0.0000 0.5000 0.5000  2 Dy 3.76, 6 La 3.76-3.79, 4 Ac 3.78
La: 0.0000 0.0000 0.0000  2 Dy 3.76, 6 La 3.76-3.79, 4 Ac 3.78
La: 0.5000 0.2521 0.3759  4 Ac 3.74-3.79, 6 La 3.76-3.80, 2 Dy 3.77
La: 0.5000 0.2479 0.8759  4 Ac 3.74-3.79, 6 La 3.76-3.80, 2 Dy 3.77
La: 0.5000 0.7521 0.1241  4 Ac 3.74-3.79, 6 La 3.76-3.80, 2 Dy 3.77
La: 0.0000 0.5037 0.2482  1 Dy 3.74, 7 La 3.76-3.80, 4 Ac 3.77-3.79
La: 0.0000 0.4963 0.7518  1 Dy 3.74, 7 La 3.76-3.80, 4 Ac 3.77-3.79
La: 0.0000 0.9963 0.7482  1 Dy 3.74, 7 La 3.76-3.80, 4 Ac 3.77-3.79
La: 0.0000 0.0037 0.2518  1 Dy 3.74, 7 La 3.76-3.80, 4 Ac 3.77-3.79
Dy: 0.0000 0.5000 0.0000  8 La 3.74-3.77, 4 Ac 3.75
Dy: 0.0000 0.0000 0.5000  8 La 3.74-3.77, 4 Ac 3.75
Ac: 0.5000 0.7464 0.8758  10 La 3.74-3.79, 2 Dy 3.75
Ac: 0.5000 0.7536 0.3758  10 La 3.74-3.79, 2 Dy 3.75
Ac: 0.5000 0.2464 0.6242  10 La 3.74-3.79, 2 Dy 3.75
Ac: 0.5000 0.2536 0.1242  10 La 3.74-3.79, 2 Dy 3.75

=====

Record 8
Entry from Alexandria via LeMat-Bulk: a relaxed structure of PrLuAlGa (GGA-PBE).

## Properties
Space-group type: No. 216
Formation energy from the elements, eV/atom: -0.434
Magnetization, Bohr magnetons per cell: 0.00

Unit cell a=5.1368 b=5.1368 c=5.1368 alpha=60.00 beta=60.00 gamma=60.00
Closest atoms and distances in Å follow each position.
Atoms (fractional coordinates):
Al: 0.7500 0.7500 0.7500  4 Lu 3.15, 4 Pr 3.15
Ga: 0.2500 0.2500 0.2500  4 Pr 3.15, 4 Lu 3.15
Lu: 0.0000 0.0000 0.0000  4 Ga 3.15, 4 Al 3.15
Pr: 0.5000 0.5000 0.5000  4 Al 3.15, 4 Ga 3.15